Below is an optimized crystal structure of TeP2HPb, with properties calculated at the GGA-PBE level.

Cell lengths 4.3471, 4.3471, 5.1222 Å; angles 90.00, 90.00, 90.00 degrees
Space group P4/mmm (No. 123)
Inequivalent atoms, fractional coordinates:
Te: 0.0000 0.0000 0.0000 (multiplicity 1)
P: 0.0000 0.5000 0.5000 (multiplicity 2)
H: 0.5000 0.5000 0.5000 (multiplicity 1)
Pb: 0.5000 0.5000 0.0000 (multiplicity 1)

Energy relative to the lowest polymorph listed for this composition (meV/atom): 9
Total energy (eV per atom): -3.44